PBE+U Cs3RbCo2F8, optimized geometry; E_tot = -4.521 eV per atom; space group = No. 164
1.0
-1.3048 -4.9680 -4.2045
3.8827 -1.0536 5.2798
-6.8966 -2.1224 4.6482
Cs Co F Rb
3 2 8 1
Cartesian
0.0000 0.0000 0.0000
-1.9286 -4.3873 0.5427
-2.3901 -3.7568 5.1807
0.7657 -2.7855 3.0537
-5.0844 -5.3586 2.6697
-4.6368 -3.4664 2.7181
0.9215 -2.3803 4.9496
-5.2402 -5.7638 0.7738
0.3181 -4.6777 3.0053
-0.8740 -1.8931 2.5080
0.2866 -3.7056 -0.9503
-4.6053 -4.4385 6.6737
-3.4447 -6.2510 3.2154
-3.4483 -1.0612 2.3241